# 1
8
Lattice="4.0502 0.0000 0.0000 0.0000 4.0502 0.0000 0.0000 0.0000 7.5802" Properties=species:S:1:pos:R:3 comment="AlTcAu2 | Alexandria | GGA-PBEsol | optimized geometry" sg="I-4m2 (119)" delta_e_f_ev_per_atom=0.0868 pbc="T T T"
Al 0.0000 0.0000 0.0000
Al 2.0251 2.0251 3.7901
Tc 0.0000 2.0251 5.6852
Tc 2.0251 0.0000 1.8951
Au 0.0000 0.0000 3.7901
Au 0.0000 2.0251 1.8951
Au 2.0251 0.0000 5.6852
Au 2.0251 2.0251 0.0000


# 2
16
Lattice="6.5879 0.0000 0.0000 0.0000 6.5879 0.0000 0.0000 0.0000 6.5879" Properties=species:S:1:pos:R:3 comment="SrMo2Pt | Alexandria | GGA-PBEsol | optimized geometry" sg="F-43m (216)" relative_energy_mev_per_atom=230 delta_e_f_ev_per_atom=0.6142 pbc="T T T"
Sr 0.0000 0.0000 0.0000
Sr 0.0000 3.2940 3.2940
Sr 3.2940 0.0000 3.2940
Sr 3.2940 3.2940 0.0000
Mo 0.0000 0.0000 3.2940
Mo 0.0000 3.2940 0.0000
Mo 1.6470 1.6470 1.6470
Mo 1.6470 4.9409 4.9409
Mo 3.2940 0.0000 0.0000
Mo 3.2940 3.2940 3.2940
Mo 4.9409 1.6470 4.9409
Mo 4.9409 4.9409 1.6470
Pt 1.6470 1.6470 4.9409
Pt 1.6470 4.9409 1.6470
Pt 4.9409 1.6470 1.6470
Pt 4.9409 4.9409 4.9409


# 3
8
Lattice="3.8709 0.0000 0.0000 0.0000 4.1675 0.0000 0.0000 0.0000 7.6787" Properties=species:S:1:pos:R:3 comment="AlAg2Pt | Alexandria | GGA-PBEsol | optimized geometry" sg="Imm2 (44)" relative_energy_mev_per_atom=9 delta_e_f_ev_per_atom=-0.3080 pbc="T T T"
Al 0.0000 0.0000 0.0000
Al 1.9354 2.0838 3.8394
Ag 0.0000 0.0000 3.7667
Ag 0.0000 2.0838 1.9359
Ag 1.9354 0.0000 5.7753
Ag 1.9354 2.0838 7.6061
Pt 0.0000 2.0838 5.5981
Pt 1.9354 0.0000 1.7587


# 4
12
Lattice="2.7791 0.0000 0.0000 -1.3896 2.4068 0.0000 0.0000 0.0000 27.1072" Properties=species:S:1:pos:R:3 comment="FePt2Cl | Alexandria | GGA-PBEsol | optimized geometry" formation_energy_uncorrected_ev_per_atom=0.1936 sg="R-3m (166)" relative_energy_mev_per_atom=0 pbc="T T T"
Fe 0.0000 0.0000 0.0000
Fe 0.0000 1.6045 18.0715
Fe 1.3896 0.8023 9.0357
Pt 0.0000 0.0000 7.0189
Pt 0.0000 0.0000 20.0883
Pt 0.0000 1.6045 11.0526
Pt 0.0000 1.6045 25.0903
Pt 1.3896 0.8023 2.0169
Pt 1.3896 0.8023 16.0546
Cl 0.0000 0.0000 13.5536
Cl 0.0000 1.6045 4.5179
Cl 1.3896 0.8023 22.5893


| no. | size of the total moment (μB per atom) | calculated total energy (eV/atom) |
| --- | --- | --- |
| 1 | 0.24 | -5.71 |
| 2 | 0.00 | -7.47 |
| 3 | 0.00 | -4.73 |
| 4 | 0.99 | -6.03 |